Entry 1:
# MnTeCl2

A relaxed structure of MnTeCl2 (PBE, the Alexandria database).

Structure (POSCAR):
```
MnTeCl2
1.0
-3.3607 3.3607 4.6791
3.3607 -3.3607 4.6791
3.3607 3.3607 -4.6791
Mn Te Cl
2 2 4
Cartesian
0.0000 0.0000 0.0000
0.0000 3.3607 2.3395
3.3607 0.0000 2.3395
0.0000 0.0000 4.6791
0.6090 1.6803 1.1698
-1.6803 2.7517 3.5093
-0.6090 5.0410 1.1698
1.6803 3.9696 3.5093
```

- Energy relative to the elements, uncorrected: 277 meV per atom
- Energy above the most stable polymorph in this dataset: 0.878 eV per atom
- Symmetry: I-42d, No. 122
- Spin magnetization: 0.00 Bohr magnetons per cell

***

Entry 2:
# BaLiI3

A relaxed structure of BaLiI3 (PBE, the Alexandria database).

Structure (POSCAR):
```
BaLiI3
1.0
6.7458 0.0000 0.0000
0.0000 6.7458 0.0000
0.0000 0.0000 6.7458
Ba Li I
1 1 3
Cartesian
0.0000 0.0000 0.0000
3.3729 3.3729 3.3729
0.0000 0.0000 3.3729
0.0000 3.3729 0.0000
3.3729 0.0000 0.0000
```

- Energy relative to the elements, uncorrected: -1145 meV per atom
- Symmetry: Pm-3m, No. 221
- Spin magnetization: 0.00 Bohr magnetons per cell

***

Entry 3:
# TaTi2ZnC

A relaxed structure of TaTi2ZnC (PBE, the Alexandria database).

Structure (POSCAR):
```
TaTi2ZnC
1.0
4.8791 0.0000 0.0000
0.0000 4.8791 0.0000
0.0000 0.0000 4.1525
Ta Ti Zn C
1 2 1 1
Cartesian
0.0000 0.0000 0.0000
0.0000 2.4396 0.0000
2.4396 0.0000 0.0000
2.4396 2.4396 2.0762
0.0000 0.0000 2.0762
```

- Energy above the most stable polymorph in this dataset: 1.687 eV per atom
- Energy of formation from the pure elements: 1.32 eV per atom
- Symmetry: P4/mmm, No. 123
- Spin magnetization: 0.00 Bohr magnetons per cell

***

D(E_F) across the listed records, respectively: 1.596 0.000 1.193 states/eV/atom.
Raw total energy across the listed records, respectively: -3.724 -2.842 -6.309 eV per atom.
Ρ across the listed records, respectively: 4.0 2.8 5.9 g cm⁻³.